Density functional theory data (GGA-PBE) for an optimized crystal structure of AsRhSe2S.

abc: 4.9036 4.9036 4.6987
angles: 90.00 90.00 90.00
Fractional positions:
Se 0.5000 0.0000 0.0000
As 0.0000 0.0000 0.5000
Rh 0.0000 0.0000 0.0000
Se 0.0000 0.5000 0.0000
S 0.5000 0.5000 0.5000

Values from the calculation:
- E above lowest polymorph (kJ/mol of formula units) = 0
- energy relative to the elements, uncorrected (eV per atom) = 0.666
- SG = P4/mmm, No. 123


Density functional theory data (GGA-PBE) for an optimized crystal structure of Hf6As2S.

abc: 3.5632 6.0505 8.5085
angles: 90.57 90.00 107.12
Fractional positions:
As 0.2374 0.4748 0.2476
Hf 0.1414 0.2829 0.9377
Hf 0.8586 0.7171 0.0623
Hf 0.4454 0.8908 0.7853
Hf 0.8535 0.7070 0.4422
As 0.7626 0.5252 0.7524
S 0.5000 0.0000 0.5000
Hf 0.1465 0.2930 0.5578
Hf 0.5546 0.1092 0.2147

Values from the calculation:
- E above lowest polymorph (kJ/mol of formula units) = 0
- energy relative to the elements, uncorrected (eV per atom) = -0.838
- SG = C2/m, No. 12


Density functional theory data (GGA-PBE) for an optimized crystal structure of TcPd3Pt4.

abc: 3.9423 3.9423 8.3969
angles: 103.62 103.62 90.01
Fractional positions:
Pt 0.3787 0.3787 0.7576
Pt 0.1212 0.1214 0.2424
Pd 0.2495 0.7496 0.4993
Pt 0.6213 0.6213 0.2424
Pd 0.7504 0.2504 0.5007
Tc 0.5000 0.0000 0.0000
Pd 0.0000 0.5000 0.0000
Pt 0.8788 0.8786 0.7576

Values from the calculation:
- energy relative to the elements (eV per formula unit) = -0.42
- SG = I4/mmm, No. 139


Density functional theory data (GGA-PBE) for an optimized crystal structure of NaHfSc.

abc: 3.1892 3.1892 7.9858
angles: 78.48 78.48 90.00
Fractional positions:
Hf 0.2784 0.2784 0.4432
Na 0.5984 0.5984 0.8031
Sc 0.9113 0.9113 0.1773

Values from the calculation:
- energy relative to the elements (eV per formula unit) = 0.75
- E above lowest polymorph (kJ/mol of formula units) = 26
- SG = I4mm, No. 107


Listing total magnetization for the structures above in their given order: 0.000, 0.000, 1.561, 0.000 μB per formula unit.
Listing Fermi-level density of states for the structures above in their given order: 6.7, 6.2, 13.0, 1.2 states/eV per cell.